First-principles (PBE-GGA) data for a relaxed structure of Pa4SbP2C, as listed in Alexandria.

The calculation puts the uncorrected formation energy at -772 meV/atom.

The structure belongs to space group Cmcm (No. 63); the cell edges are 3.971, 13.149 and 14.179 Å and the angles 90.00°, 90.00° and 90.00°. Symmetry generates all atoms from Pa at (0.000, 0.000, 0.000), Pa at (0.000, 0.272, 0.117), Pa at (0.000, 0.415, 0.750), Sb at (0.000, 0.098, 0.750), P at (0.000, 0.365, 0.560) and C at (0.000, 0.178, 0.250).

First-principles (PBE-GGA) data for a relaxed structure of RbTb2PdO5, as listed in Alexandria.

The calculation puts the uncorrected formation energy at -2134 meV/atom.

The structure belongs to space group I4/mcm (No. 140); the cell edges are 6.632, 6.632 and 12.070 Å and the angles 90.00°, 90.00° and 90.00°. Symmetry generates all atoms from Rb at (0.000, 0.000, 0.250), Tb at (0.174, 0.326, 0.000), Pd at (0.000, 0.500, 0.250), O at (0.000, 0.000, 0.000) and O at (0.132, 0.368, 0.385).

First-principles (PBE-GGA) data for a relaxed structure of TbY3Ho6, as listed in Alexandria.

The calculation puts the energy above the lowest structure with this stoichiometry at 0.010 eV per atom.

The structure belongs to space group Cmc2_1 (No. 36); the cell edges are 11.020, 18.945 and 6.145 Å and the angles 90.00°, 90.00° and 90.00°. Symmetry generates all atoms from Tb at (0.000, 0.208, 0.000), Y at (0.000, 0.390, 0.079), Y at (0.171, 0.109, 0.689), Ho at (0.000, 0.048, 0.222), Ho at (0.000, 0.283, 0.509), Ho at (0.165, 0.453, 0.617) and Ho at (0.250, 0.211, 0.283).